(1)
DFT (PBE) results for HfZnPb after structural relaxation.

Results
Distance to the lowest polymorph of the same formula, meV per atom: 543.7

Geometry as extended XYZ:
```
3
Lattice="0.4037 -4.4123 1.6693 -1.9421 -1.1426 4.1642 -3.7917 -2.8319 0.1463" Properties=species:S:1:pos:R:3 pbc="T T T"
Hf -1.3325 -2.0967 1.4949
Zn -3.9976 -6.2901 4.4848
Pb 0.0000 0.0000 0.0000
```

=====

(2)
DFT (PBE) results for Hf2ZnPb3 after structural relaxation.

Results
VASP energy, eV/atom: -5.19

Geometry as extended XYZ:
```
6
Lattice="3.5790 0.0000 0.0000 0.0000 3.5790 0.0000 0.0000 0.0000 11.0399" Properties=species:S:1:pos:R:3 pbc="T T T"
Hf 0.0000 0.0000 10.7488
Hf 1.7895 1.7895 5.5890
Zn 1.7895 1.7895 9.3260
Pb 0.0000 0.0000 7.5705
Pb 0.0000 0.0000 3.7915
Pb 1.7895 1.7895 1.6138
```

=====

(3)
DFT (PBE) results for HfZnPb after structural relaxation.

Results
Distance to the lowest polymorph of the same formula, meV per atom: 10.2

Geometry as extended XYZ:
```
6
Lattice="3.3108 0.0000 0.0000 0.0000 3.3108 0.0000 0.0000 0.0000 11.5911" Properties=species:S:1:pos:R:3 pbc="T T T"
Zn 1.6554 0.0000 5.1337
Hf 1.6554 0.0000 8.1244
Zn 0.0000 1.6554 6.4574
Hf 0.0000 1.6554 3.4667
Pb 0.0000 1.6554 10.2934
Pb 1.6554 0.0000 1.2977
```

=====

(4)
DFT (PBE) results for HfZnPb after structural relaxation.

Results
Distance to the lowest polymorph of the same formula, meV per atom: 0.0

Geometry as extended XYZ:
```
3
Lattice="-1.6981 1.6981 5.5702 1.6981 -1.6981 5.5702 1.6981 1.6981 -5.5702" Properties=species:S:1:pos:R:3 pbc="T T T"
Zn 0.0000 0.0000 3.8489
Pb 0.0000 0.0000 7.5291
Hf 0.0000 0.0000 10.9027
```

=====

(5)
DFT (PBE) results for HfZnPb after structural relaxation.

Results
Distance to the lowest polymorph of the same formula, meV per atom: 261.0

Geometry as extended XYZ:
```
3
Lattice="0.0000 3.3737 3.3737 3.3737 0.0000 3.3737 3.3737 3.3737 0.0000" Properties=species:S:1:pos:R:3 pbc="T T T"
Zn 5.0605 5.0605 5.0605
Hf 0.0000 0.0000 0.0000
Pb 1.6868 1.6868 1.6868
```

=====

(6)
DFT (PBE) results for Hf2Zn3Pb after structural relaxation.

Results
VASP energy, eV/atom: -4.50

Geometry as extended XYZ:
```
6
Lattice="3.3429 0.0000 0.0000 0.0000 3.3429 0.0000 0.0000 0.0000 10.0647" Properties=species:S:1:pos:R:3 pbc="T T T"
Hf 0.0000 0.0000 5.1054
Pb 0.0000 0.0000 1.7996
Zn 0.0000 0.0000 8.1208
Zn 1.6715 1.6715 3.6081
Hf 1.6715 1.6715 9.7761
Zn 1.6715 1.6715 6.8163
```

=====

What did the sixth record say?
DFT (PBE) results for Hf2Zn3Pb after structural relaxation.

Results
VASP energy, eV/atom: -4.50

Geometry as extended XYZ:
```
6
Lattice="3.3429 0.0000 0.0000 0.0000 3.3429 0.0000 0.0000 0.0000 10.0647" Properties=species:S:1:pos:R:3 pbc="T T T"
Hf 0.0000 0.0000 5.1054
Pb 0.0000 0.0000 1.7996
Zn 0.0000 0.0000 8.1208
Zn 1.6715 1.6715 3.6081
Hf 1.6715 1.6715 9.7761
Zn 1.6715 1.6715 6.8163
```

=====

Number 4 is which compound? HfZnPb

=====

Please write out number 5 again, unchanged.
DFT (PBE) results for HfZnPb after structural relaxation.

Results
Distance to the lowest polymorph of the same formula, meV per atom: 261.0

Geometry as extended XYZ:
```
3
Lattice="0.0000 3.3737 3.3737 3.3737 0.0000 3.3737 3.3737 3.3737 0.0000" Properties=species:S:1:pos:R:3 pbc="T T T"
Zn 5.0605 5.0605 5.0605
Hf 0.0000 0.0000 0.0000
Pb 1.6868 1.6868 1.6868
```